DFT (PBE) results for a relaxed LaSbOsI2 crystal.

```
LaSbOsI2
1.0
-2.593 -3.327 4.415
3.299 -4.844 -1.712
4.684 1.751 4.071
Os La I Sb
1 1 2 1
Direct
0.500 0.500 0.500
0.000 0.000 0.000
0.000 0.500 0.000
0.500 0.000 0.000
0.000 0.000 0.500
```

Values from the calculation:
* calculated total energy: -3.6587 eV/atom
* ΔE_f (raw): 1.02 eV/atom
* offset from the most stable computed form: 4.35 eV per formula unit
* total magnetization: 4.17 μB per cell
* SG: P4/mmm
* mass density: 4.87 Mg/m³
* crystal system: tetragonal